[1]
5
Lattice="5.399 0.000 0.000 0.000 5.399 0.000 0.000 0.000 5.399" Properties=species:S:1:pos:R:3 comment="RbTlV3 | Alexandria | PBE | optimized geometry" relative_energy_ev_per_atom=0.000 m_tot_mub_per_cell=11.01 delta_e_f_ev_per_atom=1.58 pbc="T T T"
Rb 0.000 0.000 0.000
Tl 2.700 2.700 2.700
V 0.000 2.700 2.700
V 2.700 0.000 2.700
V 2.700 2.700 0.000

---

[2]
4
Lattice="3.338 0.000 0.000 0.000 3.338 0.000 0.000 0.000 8.632" Properties=species:S:1:pos:R:3 comment="AcSc2Co | Alexandria | PBE | optimized geometry" relative_energy_ev_per_atom=0.000 m_tot_mub_per_cell=0.46 delta_e_f_ev_per_atom=-0.03 pbc="T T T"
Ac 0.000 0.000 0.000
Sc 1.669 1.669 2.850
Sc 1.669 1.669 5.783
Co 0.000 0.000 4.316

---

[3]
5
Lattice="5.124 0.000 0.000 0.000 5.124 0.000 0.000 0.000 5.355" Properties=species:S:1:pos:R:3 comment="BaCd2FeI | Alexandria | PBE | optimized geometry" formation_energy_uncorrected_mev_per_atom=17 m_tot_mub_per_cell=0.00 pbc="T T T"
Ba 0.000 0.000 0.000
Cd 0.000 2.562 2.677
Cd 2.562 0.000 2.677
Fe 2.562 2.562 2.677
I 2.562 2.562 0.000

---

[4]
12
Lattice="3.480 -6.024 0.000 3.480 6.024 0.000 -2.318 0.000 6.500" Properties=species:S:1:pos:R:3 comment="CePu3Pa2P6 | Alexandria | PBE | optimized geometry" m_tot_mub_per_cell=16.84 delta_e_f_ev_per_atom=-1.29 pbc="T T T"
Ce 0.000 0.000 0.000
Pu 2.321 4.039 3.250
Pu 2.321 0.000 3.250
Pu 2.321 -4.039 3.250
Pa 3.480 2.012 0.000
Pa 3.480 -2.012 0.000
P 1.183 2.044 1.626
P 0.045 0.000 4.882
P 1.183 -2.044 1.626
P 3.459 2.044 4.874
P 4.597 0.000 1.618
P 3.459 -2.044 4.874

---

- What is the formula in the fourth record?
  CePu3Pa2P6